[1]
Compound: As2IrAu
Source: the Alexandria database
Functional: PBE
Structure: relaxed

The energy above the most stable polymorph in this dataset is 8.26 kcal/mol of atoms. The calculation puts the energy at -5.053 eV/atom. The energy of formation is 307 meV/atom. As for the mass density: 13.13 g/cm3.

a b c (Å): 4.5848 4.5848 4.5848
angles (deg): 60.00 60.00 60.00
Atoms (fractional coordinates):
As  0.7500  0.7500  0.7500
As  0.2500  0.2500  0.2500
Au  0.5000  0.5000  0.5000
Ir  0.0000  0.0000  0.0000

***

[2]
Compound: Zr12ScCd3
Source: the Alexandria database
Functional: PBE
Structure: relaxed

The calculation puts the energy at -6.942 eV/atom. The energy of formation is 37 meV/atom. As for the mass density: 6.77 g/cm3.

a b c (Å): 5.2488 5.2488 13.1483
angles (deg): 90.00 90.00 90.00
Atoms (fractional coordinates):
Sc  0.0000  0.0000  0.0000
Cd  0.0000  0.0000  0.7503
Cd  0.0000  0.0000  0.5000
Cd  0.0000  0.0000  0.2497
Zr  0.5000  0.0000  0.8720
Zr  0.5000  0.5000  0.7473
Zr  0.0000  0.5000  0.1280
Zr  0.0000  0.5000  0.3764
Zr  0.5000  0.0000  0.6236
Zr  0.5000  0.0000  0.3764
Zr  0.5000  0.5000  0.5000
Zr  0.5000  0.0000  0.1280
Zr  0.0000  0.5000  0.8720
Zr  0.0000  0.5000  0.6236
Zr  0.5000  0.5000  0.2527
Zr  0.5000  0.5000  0.0000

***

[3]
Compound: FeRuSe2
Source: the Alexandria database
Functional: PBE
Structure: relaxed

The energy above the most stable polymorph in this dataset is 3.60 kcal/mol of atoms. For the raw formation energy, the calculation gives -0.27 eV per formula unit. The calculation puts the energy at -6.245 eV/atom. As for the mass density: 6.03 g/cm3.

a b c (Å): 6.9738 6.9738 6.9738
angles (deg): 150.21 148.93 43.58
Atoms (fractional coordinates):
Se  0.8801  0.8801  0.0000
Se  0.6199  0.6199  0.0000
Ru  0.2500  0.7500  0.5000
Fe  0.7500  0.2500  0.5000

***

[4]
Compound: K2NbPbO6
Source: the Alexandria database
Functional: PBE
Structure: relaxed

For the raw formation energy, the calculation gives -16.35 eV per formula unit. The calculation puts the energy at -6.208 eV/atom. As for the mass density: 5.33 g/cm3.

a b c (Å): 5.9363 5.9363 5.9363
angles (deg): 59.99 59.99 59.99
Atoms (fractional coordinates):
Pb  0.8162  0.8162  0.5515
K  0.0662  0.0662  0.8014
K  0.5662  0.5662  0.3015
Nb  0.3162  0.3162  0.0514
O  0.5552  0.5554  0.8123
O  0.0770  0.5552  0.8124
O  0.0772  0.0768  0.2908
O  0.5553  0.0772  0.2907
O  0.0768  0.5553  0.2907
O  0.5554  0.0769  0.8125

***

[5]
Compound: PrDy3Sc2Te6
Source: the Alexandria database
Functional: PBE
Structure: relaxed

For the raw formation energy, the calculation gives -14.82 eV per formula unit. The calculation puts the energy at -5.410 eV/atom. As for the mass density: 7.16 g/cm3.

a b c (Å): 4.3051 8.6963 9.6509
angles (deg): 102.14 102.89 90.00
Atoms (fractional coordinates):
Te  0.6747  0.0980  0.3493
Te  0.3287  0.4215  0.6574
Te  0.3253  0.9020  0.6507
Te  0.6713  0.5785  0.3426
Te  0.9929  0.7368  0.9857
Te  0.0071  0.2632  0.0143
Sc  0.8365  0.6693  0.6731
Sc  0.1635  0.3307  0.3269
Dy  0.1567  0.8331  0.3135
Dy  0.8433  0.1669  0.6865
Dy  0.5000  0.5000  0.0000
Pr  0.5000  0.0000  0.0000

***

[6]
Compound: P3Cl
Source: the Alexandria database
Functional: PBE
Structure: relaxed

The energy above the most stable polymorph in this dataset is 38.25 kcal/mol of atoms. For the raw formation energy, the calculation gives 7.51 eV per formula unit. The calculation puts the energy at -2.643 eV/atom. As for the mass density: 2.08 g/cm3.

a b c (Å): 4.6821 4.6821 4.6821
angles (deg): 90.00 90.00 90.00
Atoms (fractional coordinates):
P  0.0000  0.5000  0.0000
P  0.5000  0.0000  0.0000
P  0.0000  0.0000  0.5000
Cl  0.0000  0.0000  0.0000

***

[7]
Compound: KAcGa
Source: the Alexandria database
Functional: PBE
Structure: relaxed

The energy above the most stable polymorph in this dataset is 0.00 kcal/mol of atoms. The calculation puts the energy at -2.946 eV/atom. The energy of formation is -202 meV/atom. As for the mass density: 3.90 g/cm3.

a b c (Å): 4.3604 4.3320 15.3047
angles (deg): 90.00 98.19 90.00
Atoms (fractional coordinates):
Ga  0.4751  0.7500  0.9502
Ga  0.5249  0.2500  0.0498
Ac  0.9400  0.2500  0.8800
Ac  0.0600  0.7500  0.1200
K  0.8107  0.7500  0.6214
K  0.1893  0.2500  0.3786

***

[8]
Compound: TbPu2Pa
Source: the Alexandria database
Functional: PBE
Structure: relaxed

The energy above the most stable polymorph in this dataset is 4.08 kcal/mol of atoms. The calculation puts the energy at -10.407 eV/atom. The energy of formation is 291 meV/atom. As for the mass density: 13.44 g/cm3.

a b c (Å): 5.3527 5.3527 5.3527
angles (deg): 60.00 60.00 60.00
Atoms (fractional coordinates):
Pu  0.7500  0.7500  0.7500
Pu  0.2500  0.2500  0.2500
Tb  0.0000  0.0000  0.0000
Pa  0.5000  0.5000  0.5000

***

[9]
Compound: La2TeW
Source: the Alexandria database
Functional: PBE
Structure: relaxed

For the raw formation energy, the calculation gives 0.85 eV per formula unit. The calculation puts the energy at -6.275 eV/atom. As for the mass density: 8.62 g/cm3.

a b c (Å): 8.4626 8.4626 6.7723
angles (deg): 51.33 51.33 90.00
Atoms (fractional coordinates):
Te  0.5000  0.5000  0.0000
Te  0.2500  0.7500  0.5000
La  0.8750  0.9352  0.7500
La  0.6852  0.1250  0.2500
La  0.0648  0.6250  0.2500
La  0.3750  0.3148  0.7500
W  0.7500  0.2500  0.5000
W  0.0000  0.0000  0.0000

***

[10]
Compound: EuHg4Au
Source: the Alexandria database
Functional: PBE
Structure: relaxed

The calculation puts the energy at -2.606 eV/atom. The energy of formation is -146 meV/atom. As for the mass density: 12.46 g/cm3.

a b c (Å): 6.0095 6.0095 6.0095
angles (deg): 60.00 60.00 60.00
Atoms (fractional coordinates):
Eu  0.2500  0.2500  0.2500
Au  0.0000  0.0000  0.0000
Hg  0.6254  0.6254  0.6254
Hg  0.1237  0.6254  0.6254
Hg  0.6254  0.6254  0.1237
Hg  0.6254  0.1237  0.6254

***

[11]
Compound: Te2WBr
Source: the Alexandria database
Functional: PBE
Structure: relaxed

The energy above the most stable polymorph in this dataset is 0.24 kcal/mol of atoms. For the raw formation energy, the calculation gives 0.33 eV per formula unit. The calculation puts the energy at -5.146 eV/atom. As for the mass density: 6.27 g/cm3.

a b c (Å): 7.0532 7.0532 6.9442
angles (deg): 60.33 60.33 27.53
Atoms (fractional coordinates):
Br  0.1524  0.1524  0.3148
Te  0.8439  0.8439  0.6435
Te  0.0001  0.0001  0.9239
W  0.5036  0.5036  0.6177

***

[12]
Compound: SrPd2Au9
Source: the Alexandria database
Functional: PBE
Structure: relaxed

The calculation puts the energy at -3.701 eV/atom. The energy of formation is -237 meV/atom. As for the mass density: 14.48 g/cm3.

a b c (Å): 7.3765 8.8352 8.8352
angles (deg): 79.96 65.33 65.33
Atoms (fractional coordinates):
Au  0.3168  0.6754  0.0831
Au  0.0078  0.9169  0.6754
Au  0.6747  0.5831  0.1754
Au  0.4332  0.4169  0.8246
Au  0.6001  0.0831  0.3246
Au  0.6001  0.3246  0.0831
Au  0.0753  0.3246  0.9169
Au  0.0000  0.0000  0.0000
Au  0.3168  0.0831  0.6754
Au  0.6747  0.1754  0.5831
Au  0.0078  0.6754  0.9169
Au  0.1499  0.4169  0.1754
Au  0.7500  0.5000  0.5000
Au  0.7422  0.5831  0.8246
Au  0.7422  0.8246  0.5831
Au  0.1499  0.1754  0.4169
Au  0.4332  0.8246  0.4169
Au  0.0753  0.9169  0.3246
Pd  0.3750  0.7500  0.7500
Pd  0.8750  0.7500  0.2500
Pd  0.8750  0.2500  0.7500
Pd  0.8750  0.2500  0.2500
Sr  0.2500  0.5000  0.5000
Sr  0.5000  0.0000  0.0000

***

[13]
Compound: Sr10Bi3Sb3
Source: the Alexandria database
Functional: PBE
Structure: relaxed

For the raw formation energy, the calculation gives -15.04 eV per formula unit. The calculation puts the energy at -3.492 eV/atom. As for the mass density: 5.09 g/cm3.

a b c (Å): 7.5083 9.6790 9.6790
angles (deg): 120.00 90.00 90.00
Atoms (fractional coordinates):
Sb  0.0000  0.0000  0.6100
Sb  0.0000  0.3900  0.3900
Sb  0.0000  0.6100  0.0000
Sr  0.2471  0.3333  0.6667
Sr  0.0000  0.2531  0.0000
Sr  0.0000  0.7469  0.7469
Sr  0.5000  0.7480  0.0000
Sr  0.5000  0.2520  0.2520
Sr  0.2471  0.6667  0.3333
Sr  0.7529  0.3333  0.6667
Sr  0.7529  0.6667  0.3333
Sr  0.0000  0.0000  0.2531
Sr  0.5000  0.0000  0.7480
Bi  0.5000  0.3909  0.0000
Bi  0.5000  0.6091  0.6091
Bi  0.5000  0.0000  0.3909

***

[14]
Compound: NpSc3O8
Source: the Alexandria database
Functional: PBE
Structure: relaxed

For the raw formation energy, the calculation gives -36.80 eV per formula unit. The calculation puts the energy at -9.033 eV/atom. As for the mass density: 6.29 g/cm3.

a b c (Å): 5.0920 5.0920 5.0920
angles (deg): 90.00 90.00 90.00
Atoms (fractional coordinates):
Sc  0.0000  0.5000  0.5000
Sc  0.5000  0.0000  0.5000
Sc  0.5000  0.5000  0.0000
O  0.7547  0.7547  0.2453
O  0.2453  0.2453  0.7547
O  0.2453  0.7547  0.7547
O  0.7547  0.2453  0.7547
O  0.7547  0.7547  0.7547
O  0.2453  0.7547  0.2453
O  0.2453  0.2453  0.2453
O  0.7547  0.2453  0.2453
Np  0.0000  0.0000  0.0000

***

[15]
Compound: NaMg2In2
Source: the Alexandria database
Functional: PBE
Structure: relaxed

The energy above the most stable polymorph in this dataset is 0.67 kcal/mol of atoms. The calculation puts the energy at -2.052 eV/atom. The energy of formation is -55 meV/atom. As for the mass density: 3.91 g/cm3.

a b c (Å): 3.3447 3.2773 11.7754
angles (deg): 82.00 90.00 90.00
Atoms (fractional coordinates):
In  0.5000  0.6050  0.7899
In  0.5000  0.3950  0.2101
Mg  0.0000  0.1935  0.6129
Mg  0.0000  0.8065  0.3871
Na  0.0000  0.0000  0.0000

***

[16]
Compound: Sc2ReW
Source: the Alexandria database
Functional: PBE
Structure: relaxed

The energy above the most stable polymorph in this dataset is 9.45 kcal/mol of atoms. The calculation puts the energy at -9.163 eV/atom. The energy of formation is 353 meV/atom. As for the mass density: 10.64 g/cm3.

a b c (Å): 9.4340 9.4340 9.4340
angles (deg): 18.23 18.23 18.23
Atoms (fractional coordinates):
Re  0.7500  0.7500  0.7500
Sc  0.0035  0.0035  0.0035
Sc  0.4965  0.4965  0.4965
W  0.2500  0.2500  0.2500

***

[17]
Compound: BaLa
Source: the Alexandria database
Functional: PBE
Structure: relaxed

The energy above the most stable polymorph in this dataset is 3.37 kcal/mol of atoms. The calculation puts the energy at -3.182 eV/atom. The energy of formation is 243 meV/atom. As for the mass density: 4.85 g/cm3.

a b c (Å): 6.4412 6.4412 6.4412
angles (deg): 60.01 60.01 60.01
Atoms (fractional coordinates):
Ba  0.8750  0.8750  0.8750
Ba  0.1250  0.1250  0.1250
La  0.3752  0.3752  0.3752
La  0.6248  0.6248  0.6248

***

[18]
Compound: NiSbPt4
Source: the Alexandria database
Functional: PBE
Structure: relaxed

The energy above the most stable polymorph in this dataset is 5.72 kcal/mol of atoms. For the raw formation energy, the calculation gives 0.93 eV per formula unit. The calculation puts the energy at -5.522 eV/atom. As for the mass density: 15.13 g/cm3.

a b c (Å): 5.3026 5.3026 5.3026
angles (deg): 60.00 60.00 60.00
Atoms (fractional coordinates):
Ni  0.0000  0.0000  0.0000
Sb  0.7500  0.7500  0.7500
Pt  0.8767  0.3744  0.3744
Pt  0.3744  0.8767  0.3744
Pt  0.3744  0.3744  0.3744
Pt  0.3744  0.3744  0.8767

***

[19]
Compound: KMg3Sn
Source: the Alexandria database
Functional: PBE
Structure: relaxed

The energy above the most stable polymorph in this dataset is 0.00 kcal/mol of atoms. The calculation puts the energy at -1.746 eV/atom. The energy of formation is 231 meV/atom. As for the mass density: 2.11 g/cm3.

a b c (Å): 5.6648 5.6648 5.6648
angles (deg): 90.00 90.00 90.00
Atoms (fractional coordinates):
Mg  0.0000  0.0000  0.5000
Mg  0.5000  0.0000  0.0000
Mg  0.0000  0.5000  0.0000
K  0.5000  0.5000  0.5000
Sn  0.0000  0.0000  0.0000

***

[20]
Compound: SrY2InRu
Source: the Alexandria database
Functional: PBE
Structure: relaxed

The calculation puts the energy at -5.527 eV/atom. The energy of formation is -203 meV/atom. As for the mass density: 5.20 g/cm3.

a b c (Å): 5.3281 5.3281 5.4148
angles (deg): 90.00 90.00 90.00
Atoms (fractional coordinates):
Ru  0.0000  0.0000  0.0000
Sr  0.5000  0.5000  0.5000
Y  0.0000  0.5000  0.0000
Y  0.5000  0.0000  0.0000
In  0.0000  0.0000  0.5000